Material: MnTlSb
Method: DFT, PBE
State: optimized geometry

Output
Raw formation energy ... 0.264 eV per atom

a b c (Å): 4.772 4.772 4.772
angles (deg): 60.00 60.00 60.00
Fractional coordinates of all 3 atoms:
Mn 0.000 0.000 0.000
Tl 0.750 0.750 0.750
Sb 0.250 0.250 0.250